1.
The following is a DFT calculation (PBE-GGA) of a relaxed Cs2GaCl crystal. Values from VASP.

Values from the calculation:
The formation energy (no corrections) comes out at -0.54 eV per atom. As for the energy above the most stable polymorph in this dataset: 61 meV per atom. Its magnetic moment is 0.500 μB per atom.

Geometry as Quantum ESPRESSO input:
```
&SYSTEM
  ibrav = 0, nat = 4, ntyp = 3
/
ATOMIC_SPECIES
Cs 132.91 Cs.upf
Ga 69.72 Ga.upf
Cl 35.45 Cl.upf
ATOMIC_POSITIONS angstrom
Cs -1.4675 3.5748 -0.2058
Cs -4.4026 10.7244 -0.6174
Ga -2.9350 7.1496 -0.4116
Cl 0.0000 0.0000 0.0000
CELL_PARAMETERS angstrom
-2.3842 4.7995 3.3488
1.1572 5.9595 -1.7549
-4.6431 3.5402 -2.4171
```

***

2.
The following is a DFT calculation (PBE-GGA) of a relaxed CsGaCl2 crystal. Values from VASP.

Values from the calculation:
The formation energy (no corrections) comes out at -1.25 eV per atom. As for the energy above the most stable polymorph in this dataset: 86 meV per atom. Its magnetic moment is 0.000 μB per atom.

Geometry as Quantum ESPRESSO input:
```
&SYSTEM
  ibrav = 0, nat = 8, ntyp = 3
/
ATOMIC_SPECIES
Cs 132.91 Cs.upf
Ga 69.72 Ga.upf
Cl 35.45 Cl.upf
ATOMIC_POSITIONS angstrom
Cs 0.0000 0.0000 0.0000
Cs 7.1368 3.5684 3.7091
Ga 3.5684 3.5684 0.0000
Ga 3.5684 7.1368 3.7091
Cl 4.9222 1.7842 1.8546
Cl 2.2146 5.3526 1.8546
Cl 5.3526 5.7830 5.5637
Cl 8.9210 8.4906 5.5637
CELL_PARAMETERS angstrom
7.1368 0.0000 0.0000
0.0000 7.1368 0.0000
3.5684 3.5684 7.4182
```

***

3.
The following is a DFT calculation (PBE-GGA) of a relaxed Cs3GaCl crystal. Values from VASP.

Values from the calculation:
The formation energy (no corrections) comes out at -0.57 eV per atom. As for the energy above the most stable polymorph in this dataset: 0 meV per atom. Its magnetic moment is 0.439 μB per atom.

Geometry as Quantum ESPRESSO input:
```
&SYSTEM
  ibrav = 0, nat = 5, ntyp = 3
/
ATOMIC_SPECIES
Cs 132.91 Cs.upf
Ga 69.72 Ga.upf
Cl 35.45 Cl.upf
ATOMIC_POSITIONS angstrom
Cs -2.4251 -2.2324 -0.6341
Cs 1.1626 -1.9625 2.4625
Cs -2.0084 1.5595 2.1911
Ga -3.2709 -2.6353 4.0195
Cl 0.0000 0.0000 0.0000
CELL_PARAMETERS angstrom
-4.0168 3.1190 4.3822
-4.8503 -4.4647 -1.2681
2.3252 -3.9249 4.9250
```

***

4.
The following is a DFT calculation (PBE-GGA) of a relaxed CsGaCl2 crystal. Values from VASP.

Values from the calculation:
The formation energy (no corrections) comes out at -1.28 eV per atom. As for the energy above the most stable polymorph in this dataset: 61 meV per atom. Its magnetic moment is 0.000 μB per atom.

Geometry as Quantum ESPRESSO input:
```
&SYSTEM
  ibrav = 0, nat = 4, ntyp = 3
/
ATOMIC_SPECIES
Cs 132.91 Cs.upf
Ga 69.72 Ga.upf
Cl 35.45 Cl.upf
ATOMIC_POSITIONS angstrom
Cs 3.1376 -5.5996 1.4505
Ga 5.4161 -8.8989 3.8682
Cl 3.1313 -3.8993 4.4511
Cl 1.4581 -2.7219 0.4613
CELL_PARAMETERS angstrom
-0.7399 -4.4000 -0.9881
3.2455 -2.4508 -2.0842
3.7539 -4.3374 5.9358
```

***

5.
The following is a DFT calculation (PBE-GGA) of a relaxed CsGa3Cl8 crystal. Values from VASP.

Values from the calculation:
The formation energy (no corrections) comes out at -1.27 eV per atom. Its magnetic moment is 0.000 μB per atom.

Geometry as Quantum ESPRESSO input:
```
&SYSTEM
  ibrav = 0, nat = 12, ntyp = 3
/
ATOMIC_SPECIES
Cs 132.91 Cs.upf
Ga 69.72 Ga.upf
Cl 35.45 Cl.upf
ATOMIC_POSITIONS angstrom
Cs 0.0000 0.0000 0.0000
Ga 5.2474 3.4914 2.8157
Ga 3.1422 2.0907 7.6923
Ga -0.3833 -0.2550 5.3706
Cl 3.2359 4.3086 7.6623
Cl 6.1643 4.1014 0.9082
Cl 5.2242 1.3203 7.6623
Cl 2.1075 1.4022 5.8904
Cl 3.1654 4.2617 2.8456
Cl 6.2821 4.1798 4.6175
Cl 5.1536 1.2734 2.8456
Cl 2.2253 1.4806 9.5997
CELL_PARAMETERS angstrom
6.6500 -0.0679 -0.1167
2.5062 6.1600 -0.1167
-0.7666 -0.5101 10.7413
```

***

6.
The following is a DFT calculation (PBE-GGA) of a relaxed CsGa2GeCl8 crystal. Values from VASP.

Values from the calculation:
The formation energy (no corrections) comes out at -1.08 eV per atom. Its magnetic moment is 0.000 μB per atom.

Geometry as Quantum ESPRESSO input:
```
&SYSTEM
  ibrav = 0, nat = 12, ntyp = 4
/
ATOMIC_SPECIES
Cs 132.91 Cs.upf
Ga 69.72 Ga.upf
Ge 72.64 Ge.upf
Cl 35.45 Cl.upf
ATOMIC_POSITIONS angstrom
Cs -0.3494 3.2493 8.6487
Ga -0.2289 1.5754 4.2962
Ga -0.4699 4.9232 13.0011
Ge 0.0000 0.0000 0.0000
Cl 1.3222 2.9849 5.1007
Cl -2.2425 2.0697 5.2662
Cl -2.0210 3.5137 12.1967
Cl -4.2553 2.2047 8.9109
Cl 3.5565 4.2939 8.3865
Cl -1.3090 -0.6682 8.2638
Cl 0.6102 7.1668 9.0336
Cl 1.5437 4.4289 12.0311
CELL_PARAMETERS angstrom
-4.6473 2.7723 4.1031
-0.9529 -2.5111 6.2374
4.9013 6.2374 6.9569
```

***

7.
The following is a DFT calculation (PBE-GGA) of a relaxed Cs2GaHCl6 crystal. Values from VASP.

Values from the calculation:
For the energy, the calculation gives -29.84 eV per formula unit. Its magnetic moment is 0.000 μB per atom.

Geometry as Quantum ESPRESSO input:
```
&SYSTEM
  ibrav = 0, nat = 10, ntyp = 4
/
ATOMIC_SPECIES
Cs 132.91 Cs.upf
H 1.01 H.upf
Ga 69.72 Ga.upf
Cl 35.45 Cl.upf
ATOMIC_POSITIONS angstrom
Cs 0.8849 -6.9652 4.1064
Cs 1.9334 -7.8846 -0.5045
H -0.8847 -4.6783 0.7316
Ga 0.0000 0.0000 0.0000
Cl 2.3918 -5.1662 1.5741
Cl 0.4264 -9.6835 2.0279
Cl -0.4632 -2.4494 0.3831
Cl -1.3062 -6.9072 1.0802
Cl -1.3843 -4.2403 2.9284
Cl -0.3852 -5.1163 -1.4651
CELL_PARAMETERS angstrom
-1.9333 -3.7589 5.3425
0.1638 -5.5977 -3.8792
4.5878 -5.4932 2.1386
```

***

8.
The following is a DFT calculation (PBE-GGA) of a relaxed Cs2HfGaCl6 crystal. Values from VASP.

Values from the calculation:
The formation energy (no corrections) comes out at -1.63 eV per atom. As for the energy above the most stable polymorph in this dataset: 0 meV per atom. Its magnetic moment is 0.006 μB per atom.

Geometry as Quantum ESPRESSO input:
```
&SYSTEM
  ibrav = 0, nat = 20, ntyp = 4
/
ATOMIC_SPECIES
Cs 132.91 Cs.upf
Hf 178.49 Hf.upf
Ga 69.72 Ga.upf
Cl 35.45 Cl.upf
ATOMIC_POSITIONS angstrom
Cs 2.5708 12.0504 7.9722
Cs 6.9354 4.6259 3.5122
Cs 8.4044 12.6350 8.7926
Cs 1.1018 4.0413 2.6918
Hf 0.0000 0.0000 0.0000
Hf 4.7531 8.3382 5.7422
Ga 1.8975 8.0520 5.3406
Ga 7.6087 8.6243 6.1438
Cl 3.4698 10.2432 4.5104
Cl 3.2173 8.0981 7.8343
Cl 3.8853 6.3037 4.3633
Cl 6.0364 6.4331 6.9740
Cl 6.2888 8.5782 3.6501
Cl 5.6209 10.3726 7.1211
Cl 9.4974 11.1355 5.2091
Cl 9.2091 8.6863 9.0042
Cl 9.9718 6.6376 5.0411
Cl 0.0088 5.5408 6.2753
Cl 0.2970 7.9900 2.4802
Cl -0.4656 10.0387 6.4433
CELL_PARAMETERS angstrom
-0.8386 7.9518 0.2969
-1.3482 3.6218 7.0062
11.6930 5.1027 4.1813
```

***

9.
The following is a DFT calculation (PBE-GGA) of a relaxed Cs2HfGaCl6 crystal. Values from VASP.

Values from the calculation:
The formation energy (no corrections) comes out at -1.61 eV per atom. As for the energy above the most stable polymorph in this dataset: 17 meV per atom. Its magnetic moment is 0.100 μB per atom.

Geometry as Quantum ESPRESSO input:
```
&SYSTEM
  ibrav = 0, nat = 10, ntyp = 4
/
ATOMIC_SPECIES
Cs 132.91 Cs.upf
Hf 178.49 Hf.upf
Ga 69.72 Ga.upf
Cl 35.45 Cl.upf
ATOMIC_POSITIONS angstrom
Cs -4.1702 -3.9652 7.0384
Cs 1.0537 -5.6275 7.0621
Hf 0.0000 0.0000 0.0000
Ga -1.3584 -4.2230 3.2208
Cl -0.8403 -2.5605 5.6192
Cl -2.2762 -7.0322 8.4812
Cl -0.6240 -1.9398 1.4795
Cl -2.0929 -6.5062 4.9622
Cl -4.1827 -3.3243 3.2080
Cl 1.4659 -5.1217 3.2336
CELL_PARAMETERS angstrom
-6.5823 -2.5607 3.1971
3.8654 -5.8853 3.2445
-0.3996 -1.1467 7.6588
```

***

10.
The following is a DFT calculation (PBE-GGA) of a relaxed CsGaHg2Cl8 crystal. Values from VASP.

Values from the calculation:
The formation energy (no corrections) comes out at -0.99 eV per atom. Its magnetic moment is 0.000 μB per atom.

Geometry as Quantum ESPRESSO input:
```
&SYSTEM
  ibrav = 0, nat = 12, ntyp = 4
/
ATOMIC_SPECIES
Cs 132.91 Cs.upf
Ga 69.72 Ga.upf
Hg 200.59 Hg.upf
Cl 35.45 Cl.upf
ATOMIC_POSITIONS angstrom
Cs 0.2000 1.2592 4.6657
Ga 0.0000 0.0000 0.0000
Hg 3.3163 3.7137 7.3847
Hg 3.4632 5.9238 4.0984
Cl 0.8287 6.0796 3.7430
Cl 4.6517 5.3401 2.0238
Cl 5.1185 1.1780 1.7797
Cl 5.9507 3.5578 7.7401
Cl 2.1278 4.2974 9.4592
Cl 1.6610 8.4594 9.7034
Cl 3.3931 6.5000 6.4980
Cl 3.3864 3.1374 4.9850
CELL_PARAMETERS angstrom
6.4689 -0.0778 0.3985
-0.0894 7.1968 1.7532
0.3999 2.5184 9.3313
```